A plane-wave DFT calculation with GGA+U was carried out for a geometry-optimized Cs3RbV2F9 structure.

Geometry as extended XYZ:
```
15
Lattice="-0.110 6.097 1.875 -4.307 -4.116 2.280 4.940 -1.788 6.103" Properties=species:S:1:pos:R:3 pbc="T T T"
Cs 0.366 -1.897 6.190
Cs 0.000 0.000 0.000
Cs 0.157 2.089 4.068
Rb 2.470 -0.894 3.052
V -2.212 -0.964 3.005
V 2.735 1.156 7.253
F 2.629 2.914 6.303
F 0.735 1.104 7.306
F 2.677 0.233 5.478
F -2.154 -0.041 4.780
F -0.212 -0.912 2.953
F -2.106 -2.722 3.956
F -0.055 3.048 0.937
F -2.154 -2.058 1.140
F -2.208 0.990 2.078
```

Values from the calculation:
Crystal system   trigonal
Calculated total energy   -0.1888 hartree per atom

=====

A plane-wave DFT calculation with GGA+U was carried out for a geometry-optimized CsRb4V3F12 structure.

Geometry as extended XYZ:
```
20
Lattice="7.842 0.000 0.000 -2.614 7.393 0.000 -2.614 -3.697 6.403" Properties=species:S:1:pos:R:3 pbc="T T T"
Cs 0.000 0.000 0.000
Rb 1.307 1.848 3.201
Rb -1.307 -1.848 3.201
Rb 3.921 0.000 0.000
Rb -1.307 3.697 0.000
V 2.614 -1.848 3.201
V 2.614 3.697 0.000
V -2.614 1.848 3.201
F -1.307 0.924 4.802
F 3.730 -2.638 4.568
F 1.498 -1.059 1.834
F 3.921 2.772 1.601
F 3.730 5.275 0.000
F 1.498 2.118 0.000
F 3.921 0.000 3.201
F -1.307 3.697 3.201
F 1.307 -0.924 4.802
F -3.730 2.638 4.568
F 1.307 4.621 1.601
F -1.498 1.059 1.834
```

Values from the calculation:
Crystal system   cubic
Calculated total energy   -0.1893 hartree per atom

=====

A plane-wave DFT calculation with GGA+U was carried out for a geometry-optimized Cs3Rb2VF9 structure.

Geometry as extended XYZ:
```
15
Lattice="7.011 0.000 0.000 -3.505 6.071 0.000 0.000 0.000 8.292" Properties=species:S:1:pos:R:3 pbc="T T T"
Cs 0.000 4.048 6.225
Cs 0.000 0.000 0.000
Cs 3.505 2.024 2.066
Rb 0.000 4.048 1.754
Rb 3.505 2.024 6.537
V 0.000 0.000 4.146
F 5.671 0.774 5.218
F 3.505 4.524 5.218
F 1.340 0.774 5.218
F 2.166 5.298 3.074
F 0.000 1.547 3.074
F -2.166 5.298 3.074
F 3.505 0.000 0.000
F -1.753 3.036 0.000
F 1.753 3.036 0.000
```

Values from the calculation:
Crystal system   trigonal
Calculated total energy   -0.1725 hartree per atom

=====

A plane-wave DFT calculation with GGA+U was carried out for a geometry-optimized Cs2RbV3F12 structure.

Geometry as extended XYZ:
```
18
Lattice="7.792 0.091 0.065 3.928 6.731 0.065 3.928 2.286 6.331" Properties=species:S:1:pos:R:3 pbc="T T T"
Cs 9.675 5.632 3.995
Cs 5.973 3.477 2.466
Rb 0.000 0.000 0.000
V 3.896 0.046 0.032
V 1.964 3.365 0.032
V 1.964 1.143 3.165
F 6.837 3.980 5.738
F 12.063 7.022 2.903
F 10.358 7.990 5.667
F 9.229 2.621 1.859
F 12.063 5.061 5.667
F 6.837 6.731 1.859
F 8.811 5.129 0.723
F 3.585 2.087 3.558
F 5.290 1.118 0.793
F 6.419 6.487 4.601
F 3.585 4.048 0.793
F 8.811 2.377 4.601
```

Values from the calculation:
Crystal system   trigonal
Calculated total energy   -0.2046 hartree per atom

=====

A plane-wave DFT calculation with GGA+U was carried out for a geometry-optimized Cs2RbWF6 structure.

Geometry as extended XYZ:
```
20
Lattice="6.788 0.000 0.000 0.000 6.834 0.000 0.000 0.000 9.626" Properties=species:S:1:pos:R:3 pbc="T T T"
Cs 3.394 5.135 2.395
Cs 0.000 1.699 7.208
Cs 3.394 5.135 7.231
Cs 0.000 1.699 2.418
Rb 0.000 5.110 4.813
Rb 3.394 1.724 0.000
W 3.394 1.693 4.813
W 0.000 5.141 0.000
F 3.394 1.692 2.694
F 3.394 1.692 6.933
F 0.000 5.142 2.119
F 0.000 5.142 7.507
F 1.895 0.191 4.813
F 4.893 0.191 4.813
F 1.891 3.191 4.813
F 4.897 3.191 4.813
F 5.285 3.643 0.000
F 1.503 3.643 0.000
F 1.499 6.643 0.000
F 5.289 6.643 0.000
```

Values from the calculation:
Crystal system   orthorhombic
Calculated total energy   -0.1795 hartree per atom

=====

A plane-wave DFT calculation with GGA+U was carried out for a geometry-optimized Cs2RbWF8 structure.

Geometry as extended XYZ:
```
12
Lattice="6.392 0.000 0.000 0.000 6.392 0.000 -3.196 -3.196 6.059" Properties=species:S:1:pos:R:3 pbc="T T T"
Cs 3.196 0.000 3.030
Cs 0.000 0.000 0.000
Rb 3.196 3.196 0.000
W 0.000 3.196 3.030
F -1.182 1.996 4.241
F 1.182 1.996 4.241
F 1.199 2.014 1.818
F 5.192 4.377 1.818
F 1.182 -1.996 4.241
F 1.199 4.377 1.818
F -1.182 -1.996 4.241
F 5.192 2.014 1.818
```

Values from the calculation:
Crystal system   tetragonal
Calculated total energy   -0.1771 hartree per atom